TiZnCo3 | PBE | optimized geometry

a = 4.251 Å, b = 4.251 Å, c = 4.251 Å
α = 90.00°, β = 90.00°, γ = 90.00°
Site moments in Bohr magnetons follow the coordinates.
Fractional coordinates of all 5 atoms:
1 Co 0.000 0.000 0.500  0.53
2 Co 0.000 0.500 0.000  0.43
3 Co 0.500 0.000 0.000  0.30
4 Zn 0.500 0.500 0.500  -0.01
5 Ti 0.000 0.000 0.000  -0.20

Values from the calculation:
As for the space group: No. 221. Its total magnetic moment is 0.989 μB/f.u. The total energy is -5.10 eV/atom. The energy relative to the elements comes out at 23.00 kcal/mol of atoms.

---

TiZn5Co6 | PBE | optimized geometry

a = 4.072 Å, b = 5.792 Å, c = 6.433 Å
α = 90.00°, β = 71.50°, γ = 90.00°
Site moments in Bohr magnetons follow the coordinates.
Fractional coordinates of all 12 atoms:
1 Zn 0.667 0.500 0.667  -0.01
2 Zn 0.333 0.500 0.333  -0.01
3 Zn 0.667 0.000 0.667  -0.01
4 Zn 0.333 0.000 0.333  -0.01
5 Zn 0.000 0.500 0.000  -0.01
6 Co 0.834 0.249 0.333  0.20
7 Co 0.166 0.751 0.667  0.20
8 Co 0.834 0.751 0.333  0.20
9 Co 0.166 0.249 0.667  0.20
10 Co 0.500 0.749 0.000  0.13
11 Co 0.500 0.251 0.000  0.13
12 Ti 0.000 0.000 0.000  -0.09

Values from the calculation:
As for the space group: No. 65. Its total magnetic moment is 0.848 μB/f.u. The total energy is -4.84 eV/atom. The energy relative to the elements comes out at -2.15 kcal/mol of atoms.

---

Ti2ZnCo2 | PBE | optimized geometry

a = 7.146 Å, b = 7.146 Å, c = 2.750 Å
α = 90.00°, β = 90.00°, γ = 90.00°
Fractional coordinates of all 10 atoms:
1 Co 0.857 0.357 0.500
2 Co 0.357 0.143 0.500
3 Co 0.643 0.857 0.500
4 Co 0.143 0.643 0.500
5 Ti 0.649 0.149 0.000
6 Ti 0.351 0.851 0.000
7 Ti 0.851 0.649 0.000
8 Ti 0.149 0.351 0.000
9 Zn 0.500 0.500 0.000
10 Zn 0.000 0.000 0.000

Values from the calculation:
As for the space group: No. 127. Its total magnetic moment is 0.000 μB/f.u. The total energy is -6.36 eV/atom. The energy relative to the elements comes out at -2.45 kcal/mol of atoms.

---

Ti3Zn3Co | PBE | optimized geometry

a = 8.512 Å, b = 8.512 Å, c = 8.512 Å
α = 60.00°, β = 60.00°, γ = 60.00°
Fractional coordinates of all 28 atoms:
1 Ti 0.208 0.792 0.208
2 Ti 0.042 0.458 0.458
3 Ti 0.458 0.458 0.042
4 Ti 0.792 0.208 0.792
5 Ti 0.792 0.792 0.208
6 Ti 0.458 0.042 0.042
7 Ti 0.792 0.208 0.208
8 Ti 0.042 0.458 0.042
9 Ti 0.042 0.042 0.458
10 Ti 0.208 0.792 0.792
11 Ti 0.208 0.208 0.792
12 Ti 0.458 0.042 0.458
13 Zn 0.412 0.412 0.764
14 Zn 0.412 0.412 0.412
15 Zn 0.838 0.838 0.486
16 Zn 0.764 0.412 0.412
17 Zn 0.412 0.764 0.412
18 Zn 0.838 0.838 0.838
19 Zn 0.625 0.125 0.625
20 Zn 0.625 0.625 0.625
21 Zn 0.625 0.625 0.125
22 Zn 0.838 0.486 0.838
23 Zn 0.125 0.625 0.625
24 Zn 0.486 0.838 0.838
25 Co 0.125 0.125 0.125
26 Co 0.625 0.125 0.125
27 Co 0.125 0.625 0.125
28 Co 0.125 0.125 0.625

Values from the calculation:
As for the space group: No. 227. Its total magnetic moment is 0.000 μB/f.u. The total energy is -5.07 eV/atom. The energy relative to the elements comes out at -2.99 kcal/mol of atoms.

---

TiZnCo3 | PBE | optimized geometry

a = 4.731 Å, b = 5.539 Å, c = 5.539 Å
α = 110.47°, β = 90.00°, γ = 90.00°
Site moments in Bohr magnetons follow the coordinates.
Fractional coordinates of all 10 atoms:
1 Co 0.750 0.226 0.774  0.63
2 Co 0.250 0.735 0.625  1.23
3 Co 0.750 0.265 0.375  1.23
4 Co 0.250 0.774 0.226  0.63
5 Co 0.750 0.625 0.735  1.23
6 Co 0.250 0.375 0.265  1.23
7 Ti 0.250 0.309 0.691  -0.50
8 Ti 0.750 0.691 0.309  -0.50
9 Zn 0.500 0.000 0.000  -0.03
10 Zn 0.000 0.000 0.000  -0.03

Values from the calculation:
As for the space group: No. 63. Its total magnetic moment is 2.425 μB/f.u. The total energy is -5.86 eV/atom. The energy relative to the elements comes out at 5.56 kcal/mol of atoms.

---

TiZn2Co2 | PBE | optimized geometry

a = 6.916 Å, b = 6.916 Å, c = 2.722 Å
α = 90.00°, β = 90.00°, γ = 90.00°
Fractional coordinates of all 10 atoms:
1 Ti 0.000 0.000 0.000
2 Ti 0.500 0.500 0.000
3 Zn 0.375 0.875 0.000
4 Zn 0.625 0.125 0.000
5 Zn 0.875 0.625 0.000
6 Zn 0.125 0.375 0.000
7 Co 0.825 0.325 0.500
8 Co 0.175 0.675 0.500
9 Co 0.675 0.825 0.500
10 Co 0.325 0.175 0.500

Values from the calculation:
As for the space group: No. 127. Its total magnetic moment is 0.001 μB/f.u. The total energy is -4.96 eV/atom. The energy relative to the elements comes out at -0.68 kcal/mol of atoms.

---

Ti11Zn9Co4 | PBE | optimized geometry

a = 2.981 Å, b = 11.352 Å, c = 11.352 Å
α = 112.23°, β = 90.00°, γ = 90.00°
Site moments in Bohr magnetons follow the coordinates.
Fractional coordinates of all 24 atoms:
1 Ti 0.000 0.415 0.073  0.01
2 Ti 0.000 0.585 0.927  0.01
3 Ti 0.000 0.632 0.368  -0.02
4 Ti 0.000 0.073 0.415  0.01
5 Ti 0.000 0.155 0.845  0.63
6 Ti 0.000 0.694 0.694  -0.03
7 Ti 0.000 0.000 0.000  0.50
8 Ti 0.000 0.845 0.155  0.63
9 Ti 0.000 0.927 0.585  0.01
10 Ti 0.000 0.368 0.632  -0.02
11 Ti 0.000 0.306 0.306  -0.03
12 Co 0.500 0.754 0.549  0.02
13 Co 0.500 0.246 0.451  0.02
14 Co 0.500 0.549 0.754  0.02
15 Co 0.500 0.451 0.246  0.02
16 Zn 0.500 0.500 0.500  0.00
17 Zn 0.500 0.216 0.075  0.00
18 Zn 0.500 0.636 0.155  0.00
19 Zn 0.500 0.155 0.636  0.00
20 Zn 0.500 0.784 0.925  0.00
21 Zn 0.500 0.364 0.845  0.00
22 Zn 0.500 0.925 0.784  0.00
23 Zn 0.500 0.845 0.364  0.00
24 Zn 0.500 0.075 0.216  0.00

Values from the calculation:
As for the space group: No. 65. Its total magnetic moment is 2.227 μB/f.u. The total energy is -5.58 eV/atom. The energy relative to the elements comes out at -6.88 kcal/mol of atoms.

---

Ti6Zn3Co | PBE | optimized geometry

a = 4.892 Å, b = 7.578 Å, c = 8.808 Å
α = 90.00°, β = 90.18°, γ = 90.00°
Fractional coordinates of all 20 atoms:
1 Ti 0.567 0.189 0.551
2 Ti 0.933 0.689 0.949
3 Ti 0.159 0.097 0.766
4 Ti 0.913 0.665 0.540
5 Ti 0.433 0.811 0.449
6 Ti 0.087 0.335 0.460
7 Ti 0.067 0.311 0.051
8 Ti 0.841 0.903 0.234
9 Ti 0.659 0.403 0.266
10 Ti 0.587 0.165 0.960
11 Ti 0.413 0.835 0.040
12 Ti 0.341 0.597 0.734
13 Zn 0.500 0.500 0.000
14 Zn 0.651 0.904 0.747
15 Zn 0.349 0.096 0.253
16 Zn 0.000 0.000 0.500
17 Zn 0.151 0.596 0.247
18 Zn 0.849 0.404 0.753
19 Co 0.000 0.000 0.000
20 Co 0.500 0.500 0.500

Values from the calculation:
As for the space group: No. 14. Its total magnetic moment is 0.000 μB/f.u. The total energy is -5.81 eV/atom. The energy relative to the elements comes out at 0.36 kcal/mol of atoms.

---

Ti3ZnCo | PBE | optimized geometry

a = 4.616 Å, b = 4.616 Å, c = 4.616 Å
α = 90.00°, β = 90.00°, γ = 90.00°
Site moments in Bohr magnetons follow the coordinates.
Fractional coordinates of all 5 atoms:
1 Co 0.500 0.500 0.500  1.80
2 Ti 0.000 0.500 0.000  -0.47
3 Ti 0.500 0.000 0.000  -0.56
4 Ti 0.000 0.000 0.500  -0.53
5 Zn 0.000 0.000 0.000  -0.06

Values from the calculation:
As for the space group: No. 221. Its total magnetic moment is 0.679 μB/f.u. The total energy is -5.32 eV/atom. The energy relative to the elements comes out at 25.16 kcal/mol of atoms.

---

Ti3ZnCo | PBE | optimized geometry

a = 4.483 Å, b = 4.483 Å, c = 4.483 Å
α = 90.00°, β = 90.00°, γ = 90.00°
Fractional coordinates of all 5 atoms:
1 Ti 0.000 0.500 0.000
2 Ti 0.500 0.000 0.000
3 Ti 0.000 0.000 0.500
4 Co 0.000 0.000 0.000
5 Zn 0.500 0.500 0.500

Values from the calculation:
As for the space group: No. 221. Its total magnetic moment is 0.000 μB/f.u. The total energy is -6.15 eV/atom. The energy relative to the elements comes out at 5.99 kcal/mol of atoms.

---

Ti2Zn2Co3 | PBE | optimized geometry

a = 4.135 Å, b = 4.146 Å, c = 6.825 Å
α = 89.81°, β = 107.78°, γ = 120.30°
Fractional coordinates of all 7 atoms:
1 Co 0.000 0.000 0.000
2 Co 0.518 0.260 0.780
3 Co 0.482 0.740 0.220
4 Zn 0.265 0.132 0.396
5 Zn 0.735 0.868 0.604
6 Ti 0.228 0.615 0.843
7 Ti 0.772 0.385 0.157

Values from the calculation:
As for the space group: No. 2. Its total magnetic moment is 0.000 μB/f.u. The total energy is -5.93 eV/atom. The energy relative to the elements comes out at -6.12 kcal/mol of atoms.

---

Ti2ZnCo2 | PBE | optimized geometry

a = 6.879 Å, b = 6.879 Å, c = 2.888 Å
α = 90.00°, β = 90.00°, γ = 90.00°
Fractional coordinates of all 10 atoms:
1 Co 0.864 0.636 0.000
2 Co 0.636 0.136 0.000
3 Co 0.364 0.864 0.000
4 Co 0.136 0.364 0.000
5 Ti 0.662 0.838 0.500
6 Ti 0.162 0.662 0.500
7 Ti 0.838 0.338 0.500
8 Ti 0.338 0.162 0.500
9 Zn 0.500 0.500 0.000
10 Zn 0.000 0.000 0.000

Values from the calculation:
As for the space group: No. 127. Its total magnetic moment is 0.000 μB/f.u. The total energy is -6.56 eV/atom. The energy relative to the elements comes out at -7.04 kcal/mol of atoms.